This record from the Alexandria database describes a relaxed structure of Rb2Np3NiO12. The functional is PBE+U.

Structure (CIF):
```
data_Rb2Np3NiO12
_cell_length_a 7.437
_cell_length_b 7.437
_cell_length_c 7.437
_cell_angle_alpha 64.11
_cell_angle_beta 64.11
_cell_angle_gamma 64.11
_symmetry_space_group_name_H-M 'P 1'
_symmetry_Int_Tables_number 1
loop_
_symmetry_equiv_pos_as_xyz
'x,y,z'
loop_
_atom_site_label
_atom_site_type_symbol
_atom_site_fract_x
_atom_site_fract_y
_atom_site_fract_z
_atom_site_occupancy
Rb1 Rb 0.126 0.126 0.126 1
Rb2 Rb 0.874 0.874 0.874 1
Np1 Np 0.000 0.500 0.500 1
Np2 Np 0.500 0.000 0.500 1
Np3 Np 0.500 0.500 0.000 1
Ni1 Ni 0.500 0.500 0.500 1
O1 O 0.178 0.178 0.566 1
O2 O 0.178 0.566 0.178 1
O3 O 0.184 0.562 0.562 1
O4 O 0.434 0.822 0.822 1
O5 O 0.438 0.438 0.816 1
O6 O 0.438 0.816 0.438 1
O7 O 0.562 0.184 0.562 1
O8 O 0.562 0.562 0.184 1
O9 O 0.566 0.178 0.178 1
O10 O 0.816 0.438 0.438 1
O11 O 0.822 0.434 0.822 1
O12 O 0.822 0.822 0.434 1
```

The calculation puts the electronic total energy at -145.61 eV/cell.